Here is an optimized crystal structure of Np3NiHg3Se8 from Alexandria via LeMat-Bulk. Energies are from GGA-PBE.

abc: 13.622 7.868 10.795
angles: 90.00 114.75 90.00
Space group C2/m (No. 12)
Unique sites:
Np 0.000 0.000 0.000 [2 per cell]
Np 0.250 0.250 0.000 [4 per cell]
Ni 0.000 0.500 0.000 [2 per cell]
Hg 0.000 0.500 0.500 [2 per cell]
Hg 0.250 0.250 0.500 [4 per cell]
Se 0.027 0.270 0.849 [8 per cell]
Se 0.203 0.500 0.151 [4 per cell]
Se 0.222 0.000 0.165 [4 per cell]

Properties
Total magnetic moment = 8.9 μB per formula unit
Formation energy without anion corrections = -0.5679 eV per atom